Entry 1:
Co3HgSe: relaxed, PBE.

Cell: 4.7926 4.7926 4.7926 Å, 90.00 90.00 90.00°
Positions (direct):
Co 0.0000 0.0000 0.5000
Co 0.0000 0.5000 0.0000
Co 0.5000 0.0000 0.0000
Hg 0.0000 0.0000 0.0000
Se 0.5000 0.5000 0.5000

The calculation puts the excess energy over the best structure of this formula in the dataset at 485 kJ/mol of formula units. The formation energy without anion corrections is 1596 meV/atom. The total magnetization is 5.34 μB per formula unit. Its density of states at the Fermi level is 3.24 states/eV per atom.



Entry 2:
CoHgSe2: relaxed, PBE.

Cell: 7.9235 7.9235 7.9235 Å, 30.06 30.06 30.06°
Positions (direct):
Co 0.0000 0.0000 0.0000
Hg 0.5000 0.5000 0.5000
Se 0.0985 0.0985 0.0985
Se 0.9015 0.9015 0.9015

The formation energy without anion corrections is 408 meV/atom. The total magnetization is 2.39 μB per formula unit. Its density of states at the Fermi level is 1.67 states/eV per atom.



Entry 3:
CoHgSe2: relaxed, PBE.

Cell: 8.4145 8.4145 8.4145 Å, 23.93 23.93 23.93°
Positions (direct):
Co 0.0000 0.0000 0.0000
Hg 0.8316 0.8316 0.8316
Se 0.3847 0.3847 0.3847
Se 0.6149 0.6149 0.6149

The formation energy without anion corrections is -182 meV/atom. The total magnetization is 0.00 μB per formula unit. Its density of states at the Fermi level is 0.92 states/eV per atom.



Entry 4:
CoHgSe2: relaxed, PBE.

Cell: 2.9527 2.9527 9.6487 Å, 90.00 90.00 90.00°
Positions (direct):
Co 0.0000 0.0000 0.0000
Hg 0.0000 0.0000 0.5000
Se 0.5000 0.5000 0.1566
Se 0.5000 0.5000 0.8434

The formation energy without anion corrections is 113 meV/atom. The total magnetization is 0.49 μB per formula unit. Its density of states at the Fermi level is 0.69 states/eV per atom.



Entry 5:
Co3HgSe: relaxed, PBE.

Cell: 4.3618 4.3618 4.3618 Å, 90.00 90.00 90.00°
Positions (direct):
Co 0.0000 0.0000 0.5000
Co 0.0000 0.5000 0.0000
Co 0.5000 0.0000 0.0000
Hg 0.5000 0.5000 0.5000
Se 0.0000 0.0000 0.0000

The calculation puts the excess energy over the best structure of this formula in the dataset at 0 kJ/mol of formula units. The formation energy without anion corrections is 591 meV/atom. The total magnetization is 3.10 μB per formula unit. Its density of states at the Fermi level is 0.74 states/eV per atom.



Entry 6:
CoHgSe2: relaxed, PBE.

Cell: 4.7887 4.7887 4.4083 Å, 107.62 107.62 106.36°
Positions (direct):
Co 0.0000 0.0000 0.0000
Hg 0.5000 0.5000 0.0000
Se 0.0000 0.5000 0.5000
Se 0.5000 0.0000 0.5000

The formation energy without anion corrections is 389 meV/atom. The total magnetization is 1.97 μB per formula unit. Its density of states at the Fermi level is 1.04 states/eV per atom.



Entry 7:
CoHgSe2: relaxed, PBE.

Cell: 3.9459 3.9653 5.2703 Å, 90.00 90.00 90.00°
Positions (direct):
Co 0.0000 0.0000 0.0000
Hg 0.5000 0.5000 0.0000
Se 0.0000 0.0000 0.5000
Se 0.5000 0.5000 0.5000

The formation energy without anion corrections is 492 meV/atom. The total magnetization is 1.65 μB per formula unit. Its density of states at the Fermi level is 1.25 states/eV per atom.



Entry 8:
CoHgSe2: relaxed, PBE.

Cell: 3.5650 3.5650 6.8437 Å, 90.00 90.00 90.00°
Positions (direct):
Co 0.0000 0.0000 0.0000
Hg 0.5000 0.5000 0.4687
Se 0.0000 0.0000 0.6623
Se 0.5000 0.5000 0.0779

The formation energy without anion corrections is 110 meV/atom. The total magnetization is 2.16 μB per formula unit. Its density of states at the Fermi level is 0.92 states/eV per atom.



Entry 9:
Co5HgSe8: relaxed, PBE.

Cell: 9.4255 9.4255 8.1950 Å, 104.69 104.69 21.79°
Positions (direct):
Co 0.0000 0.0000 0.0000
Co 0.2960 0.2960 0.6847
Co 0.3411 0.3411 0.0153
Co 0.6589 0.6589 0.9847
Co 0.7040 0.7040 0.3153
Hg 0.5000 0.5000 0.5000
Se 0.0886 0.0886 0.8341
Se 0.1782 0.1782 0.4846
Se 0.2397 0.2397 0.1529
Se 0.4271 0.4271 0.8487
Se 0.5729 0.5729 0.1513
Se 0.7603 0.7603 0.8471
Se 0.8218 0.8218 0.5154
Se 0.9114 0.9114 0.1659

The formation energy without anion corrections is -256 meV/atom. The total magnetization is 0.00 μB per formula unit. Its density of states at the Fermi level is 0.62 states/eV per atom.



Entry 10:
CoHg3Se: relaxed, PBE.

Cell: 5.5123 5.5123 5.5123 Å, 90.00 90.00 90.00°
Positions (direct):
Co 0.0000 0.0000 0.0000
Hg 0.0000 0.5000 0.5000
Hg 0.5000 0.0000 0.5000
Hg 0.5000 0.5000 0.0000
Se 0.5000 0.5000 0.5000

The calculation puts the excess energy over the best structure of this formula in the dataset at 196 kJ/mol of formula units. The formation energy without anion corrections is 946 meV/atom. The total magnetization is 2.17 μB per formula unit. Its density of states at the Fermi level is 0.65 states/eV per atom.



Entry 11:
CoHg3Se: relaxed, PBE.

Cell: 5.0390 5.0390 5.0390 Å, 90.00 90.00 90.00°
Positions (direct):
Co 0.0000 0.0000 0.0000
Hg 0.0000 0.0000 0.5000
Hg 0.0000 0.5000 0.0000
Hg 0.5000 0.0000 0.0000
Se 0.5000 0.5000 0.5000

The calculation puts the excess energy over the best structure of this formula in the dataset at 0 kJ/mol of formula units. The formation energy without anion corrections is 541 meV/atom. The total magnetization is 2.00 μB per formula unit. Its density of states at the Fermi level is 1.89 states/eV per atom.



Entry 12:
SrCoHgSe2: relaxed, PBE.

Cell: 4.9814 4.9814 4.9243 Å, 90.00 90.00 90.00°
Positions (direct):
Sr 0.0000 0.0000 0.0000
Co 0.5000 0.5000 0.5000
Hg 0.5000 0.5000 0.0000
Se 0.0000 0.5000 0.5000
Se 0.5000 0.0000 0.5000

The formation energy without anion corrections is -506 meV/atom. The total magnetization is 1.50 μB per formula unit. Its density of states at the Fermi level is 1.58 states/eV per atom.